1.
12
Lattice="-0.6402 -5.8923 0.4712 5.4384 2.3874 -0.2738 -1.4939 1.6758 6.4339" Properties=species:S:1:pos:R:3 comment="Rb3DyIn2O6 (PBE, relaxed)" space_group=C2/m e_form_raw_ev_per_fu=-22.4 pbc="T T T"
Rb 3.6686 1.8320 3.0685
Rb -0.3643 -3.6611 3.5628
Rb 1.6521 -0.9146 3.3157
Dy 0.0000 0.0000 0.0000
In 3.4121 -0.3727 -0.0254
In 1.3861 -3.1322 0.2229
O 1.4409 -2.7287 5.5704
O 3.1894 -2.2260 1.2845
O 1.8634 0.8995 1.0610
O 3.5024 0.0793 5.3177
O 0.1148 0.3968 5.3468
O -0.1982 -1.9084 1.3136

2.
5
Lattice="4.1446 0.0000 0.0000 0.0000 4.8058 0.0000 0.0000 0.0000 4.1446" Properties=species:S:1:pos:R:3 comment="Be2OsPtW (PBE, relaxed)" ef_mev_per_atom=1368 space_group=P4/mmm pbc="T T T"
Be 0.0000 0.0000 2.0723
Be 2.0723 0.0000 0.0000
Os 0.0000 0.0000 0.0000
W 2.0723 2.4029 2.0723
Pt 0.0000 2.4029 0.0000

3.
5
Lattice="4.6627 0.0000 0.0000 0.0000 4.6627 0.0000 0.0000 0.0000 4.6627" Properties=species:S:1:pos:R:3 comment="ScCdMo3 (PBE, relaxed)" ef_mev_per_atom=1806 space_group=Pm-3m e_above_lowest_polymorph_mev_per_atom=0 pbc="T T T"
Sc 0.0000 0.0000 0.0000
Mo 0.0000 2.3313 0.0000
Mo 0.0000 0.0000 2.3313
Mo 2.3313 0.0000 0.0000
Cd 2.3313 2.3313 2.3313

4.
5
Lattice="4.5480 0.0000 0.0000 0.0000 3.3565 0.0000 0.0000 0.0000 4.5480" Properties=species:S:1:pos:R:3 comment="VCoCu2N (PBE, relaxed)" space_group=P4/mmm e_form_raw_ev_per_fu=4.1 pbc="T T T"
N 0.0000 1.6783 0.0000
Co 0.0000 0.0000 0.0000
Cu 0.0000 0.0000 2.2740
Cu 2.2740 0.0000 0.0000
V 2.2740 1.6783 2.2740

5.
10
Lattice="7.3232 0.0000 0.0000 0.0000 7.3232 0.0000 0.0000 0.0000 4.3605" Properties=species:S:1:pos:R:3 comment="LiSc2Tl2 (PBE, relaxed)" ef_mev_per_atom=-192 space_group=P4/mbm e_above_lowest_polymorph_mev_per_atom=0 pbc="T T T"
Sc 1.1666 4.8282 2.1802
Sc 4.8282 6.1566 2.1802
Sc 6.1566 2.4950 2.1802
Sc 2.4950 1.1666 2.1802
Tl 2.5728 6.2343 0.0000
Tl 6.2343 4.7504 0.0000
Tl 4.7504 1.0888 0.0000
Tl 1.0888 2.5728 0.0000
Li 0.0000 0.0000 0.0000
Li 3.6616 3.6616 0.0000

6.
8
Lattice="4.3015 0.0000 0.0000 2.1508 3.7252 0.0000 2.1508 1.2417 8.5888" Properties=species:S:1:pos:R:3 comment="YAl2GaPt4 (PBE, relaxed)" ef_mev_per_atom=-986 space_group=R-3m pbc="T T T"
Y 0.0000 0.0000 0.0000
Al 6.4522 3.7252 6.3099
Al 2.1508 1.2417 2.2789
Ga 4.3015 2.4835 4.2944
Pt 4.3015 2.4835 6.8241
Pt 6.4523 3.7252 3.4449
Pt 2.1507 1.2417 5.1439
Pt 4.3015 2.4835 1.7647

7.
14
Lattice="-0.9737 -4.0801 5.4324 4.9262 -1.4654 -4.5488 0.6856 5.4054 4.1736" Properties=species:S:1:pos:R:3 comment="CaPu2N4 (PBE, relaxed)" space_group=I4_1/amd e_form_raw_ev_per_fu=-7.2 pbc="T T T"
Ca 0.0000 0.0000 0.0000
Ca 1.9042 -2.4415 2.8433
Pu 0.8081 -0.5580 6.2246
Pu 1.2948 1.4821 3.5084
Pu 3.7579 0.7491 1.2341
Pu 3.4153 -1.9536 -0.8527
N 3.9900 0.2127 -0.9277
N 3.5852 -1.4846 1.3305
N 3.9310 2.9829 1.1377
N 1.8820 3.5924 3.0283
N 3.5258 1.2856 3.3959
N 0.9930 1.6198 5.7231
N 0.7080 -0.6283 3.9886
N 1.5966 1.3443 1.2937

8.
19
Lattice="-4.4076 -6.1412 1.0955 1.3160 0.3958 7.5135 -3.9594 2.9378 0.5387" Properties=species:S:1:pos:R:3 comment="LiSi2Ag8O8 (PBE, relaxed)" space_group=P-4 e_form_raw_ev_per_fu=-19.0 e_above_lowest_polymorph_mev_per_atom=36 pbc="T T T"
Li -1.9797 1.4689 0.2694
Si -3.5255 -1.4038 4.5738
Si 0.0000 0.0000 0.0000
Ag -5.3772 0.5885 2.3605
Ag -5.3101 -3.4530 6.1594
Ag -2.3526 1.0992 3.0716
Ag -4.3814 -2.7027 1.8392
Ag -2.0579 -0.5588 7.2252
Ag -3.1226 -4.8043 3.8175
Ag -5.5345 -0.5316 7.3125
Ag -0.0676 -0.8680 4.8049
O -3.2699 -4.1687 8.1299
O -4.7337 -1.2366 3.4406
O -2.2808 2.3250 6.7879
O -3.4641 -2.9968 5.0539
O -3.8189 -0.4568 5.9113
O -1.4570 -0.3633 0.7016
O -7.0942 -3.4083 2.6760
O -2.0853 -0.9250 3.8895

Energy across the listed records, respectively: -5.43, -6.17, -6.14, -5.73, -4.05, -6.13, -10.17, -4.96 eV/atom.